Material: NaLiPuO5
Method: DFT, GGA-PBE
State: optimized geometry

Cell: 6.962 9.383 7.957 Å, 90.00 115.49 90.00°
Space group C2/c (No. 15)
Inequivalent atoms, fractional coordinates:
Na  0.000  0.081  0.250
Li  0.000  0.443  0.250
Pu  0.250  0.250  0.000
O  0.000  0.170  0.750
O  0.047  0.303  0.088
O  0.244  0.436  0.900

Results
Formation energy (no corrections) ... -2.0097 eV per atom